Record 1
Compound: Tb15Pm2Nd2
Source: Alexandria via LeMat-Bulk
Functional: PBE-GGA
Structure: relaxed

Output
- Uncorrected energy: -0.3223 Ry/atom

a = 8.743 Å, b = 8.743 Å, c = 8.743 Å
α = 82.36°, β = 82.36°, γ = 82.36°
Fractional positions:
Tb 0.658 0.342 0.000
Tb 0.000 0.658 0.342
Tb 0.000 0.342 0.658
Tb 0.334 0.806 0.334
Tb 0.000 0.500 0.000
Nd 0.889 0.889 0.889
Nd 0.111 0.111 0.111
Pm 0.651 0.651 0.651
Tb 0.500 0.000 0.000
Tb 0.194 0.666 0.666
Pm 0.349 0.349 0.349
Tb 0.806 0.334 0.334
Tb 0.342 0.658 0.000
Tb 0.342 0.000 0.658
Tb 0.658 0.000 0.342
Tb 0.334 0.334 0.806
Tb 0.000 0.000 0.500
Tb 0.666 0.194 0.666
Tb 0.666 0.666 0.194

=====

Record 2
Compound: Cs6Tl3Cd
Source: Alexandria via LeMat-Bulk
Functional: PBE-GGA
Structure: relaxed

Output
- Uncorrected energy: -0.0985 Ry/atom

a = 8.513 Å, b = 8.513 Å, c = 8.513 Å
α = 86.62°, β = 86.62°, γ = 86.62°
Fractional positions:
Tl 0.352 0.352 0.352
Cs 0.061 0.749 0.434
Cd 0.961 0.961 0.961
Cs 0.568 0.930 0.251
Cs 0.251 0.568 0.930
Cs 0.749 0.434 0.061
Tl 0.542 0.542 0.542
Cs 0.434 0.061 0.749
Tl 0.152 0.152 0.152
Cs 0.930 0.251 0.568

=====

Record 3
Compound: Cu2RhAu
Source: Alexandria via LeMat-Bulk
Functional: PBE-GGA
Structure: relaxed

Output
- Uncorrected energy: -0.3370 Ry/atom

a = 5.199 Å, b = 5.199 Å, c = 5.199 Å
α = 148.62°, β = 126.94°, γ = 62.95°
Fractional positions:
Cu 0.004 0.004 0.000
Rh 0.250 0.750 0.500
Cu 0.496 0.496 0.000
Au 0.750 0.250 0.500

=====

Record 4
Compound: ScHgBr
Source: Alexandria via LeMat-Bulk
Functional: PBE-GGA
Structure: relaxed

Output
- Energy relative to the lowest polymorph listed for this composition: 2.18 eV per formula unit
- Uncorrected energy: -0.2092 Ry/atom
- Energy relative to the elements, uncorrected: -0.0774 eV per atom

a = 4.851 Å, b = 4.851 Å, c = 4.851 Å
α = 60.00°, β = 60.00°, γ = 60.00°
Fractional positions:
Br 0.750 0.750 0.750
Sc 0.500 0.500 0.500
Hg 0.000 0.000 0.000

=====

Record 5
Compound: HoThCuNi
Source: Alexandria via LeMat-Bulk
Functional: PBE-GGA
Structure: relaxed

Output
- Energy relative to the lowest polymorph listed for this composition: 0.39 eV per formula unit
- Uncorrected energy: -0.4193 Ry/atom

a = 4.924 Å, b = 4.924 Å, c = 4.924 Å
α = 60.00°, β = 60.00°, γ = 60.00°
Fractional positions:
Cu 0.250 0.250 0.250
Th 0.500 0.500 0.500
Ni 0.750 0.750 0.750
Ho 0.000 0.000 0.000

=====

Record 6
Compound: Pm2Be3Si4Ag
Source: Alexandria via LeMat-Bulk
Functional: PBE-GGA
Structure: relaxed

Output
- Uncorrected energy: -0.3580 Ry/atom
- Energy relative to the elements, uncorrected: -0.3481 eV per atom

a = 4.041 Å, b = 4.041 Å, c = 9.937 Å
α = 90.00°, β = 90.00°, γ = 90.00°
Fractional positions:
Pm 0.000 0.500 0.761
Ag 0.500 0.500 0.500
Si 0.500 0.000 0.649
Be 0.000 0.000 0.500
Be 0.000 0.500 0.123
Si 0.000 0.500 0.351
Pm 0.500 0.000 0.239
Si 0.500 0.500 0.000
Si 0.000 0.000 0.000
Be 0.500 0.000 0.877

=====

Record 7
Compound: Ca2Y3Se6
Source: Alexandria via LeMat-Bulk
Functional: PBE-GGA
Structure: relaxed

Output
- Uncorrected energy: -0.4387 Ry/atom
- Energy relative to the elements, uncorrected: -1.9416 eV per atom

a = 7.113 Å, b = 7.109 Å, c = 7.251 Å
α = 80.62°, β = 71.00°, γ = 59.98°
Fractional positions:
Ca 0.833 0.334 0.500
Y 0.000 0.000 0.000
Y 0.335 0.330 0.000
Se 0.078 0.335 0.759
Se 0.413 0.665 0.759
Ca 0.167 0.666 0.500
Se 0.749 0.000 0.757
Se 0.922 0.665 0.241
Se 0.587 0.335 0.241
Se 0.251 0.000 0.243
Y 0.665 0.670 0.000

=====

Record 8
Compound: Cs2PmAl2O6
Source: Alexandria via LeMat-Bulk
Functional: PBE-GGA
Structure: relaxed

Output
- Uncorrected energy: -0.4608 Ry/atom
- Energy relative to the elements, uncorrected: -2.2977 eV per atom

a = 6.244 Å, b = 6.244 Å, c = 7.531 Å
α = 65.51°, β = 65.51°, γ = 60.00°
Each line ends with the local moment (μB).
Fractional positions:
O 0.247 0.721 0.785  0.14
Pm 0.000 0.000 0.000  -0.01
Al 0.597 0.597 0.210  -0.01
Cs 0.793 0.793 0.620  0.00
O 0.753 0.279 0.215  0.14
Cs 0.207 0.207 0.380  0.00
Al 0.403 0.403 0.790  -0.01
O 0.753 0.753 0.215  0.14
O 0.721 0.247 0.785  0.14
O 0.247 0.247 0.785  0.14
O 0.279 0.753 0.215  0.14

=====

Question: Among the records above, which one has the lowest uncorrected energy?
Answer: Cs2PmAl2O6

=====

Question: Which value of uncorrected energy does entry 5 give?
Answer: -0.4193 Ry/atom

=====

Question: uncorrected energy of number 8 (Cs2PmAl2O6)?
Answer: -0.4608 Ry/atom